Record 1
A plane-wave DFT calculation with PBE was carried out for crystalline NdSm14Er at its relaxed geometry.

Structure (POSCAR):
```
NdSm14Er
1.0
11.7210 0.0000 0.0000
0.0000 3.6402 6.2992
0.0000 -3.6402 6.2992
Nd Sm Er
1 14 1
Cartesian
0.0000 0.0000 0.0000 Nd
0.0000 -1.8135 3.1397 Sm
0.0000 1.8135 3.1397 Sm
2.9109 0.0000 8.3926 Sm
2.9196 -1.8150 5.2481 Sm
2.9196 1.8150 5.2481 Sm
2.9462 0.0000 2.0988 Sm
5.8605 0.0000 4.2040 Sm
5.8605 -1.8155 7.3502 Sm
5.8605 1.8155 7.3502 Sm
5.8605 0.0000 10.5000 Sm
8.7748 0.0000 2.0988 Sm
8.8015 -1.8150 5.2481 Sm
8.8015 1.8150 5.2481 Sm
8.8101 0.0000 8.3926 Sm
0.0000 0.0000 6.2911 Er
```

---

Record 2
A plane-wave DFT calculation with PBE was carried out for crystalline Nd2Sm3Er6 at its relaxed geometry.

Structure (POSCAR):
```
Nd2Sm3Er6
1.0
-2.3738 2.3738 16.5737
2.3738 -2.3738 16.5737
2.3738 2.3738 -16.5737
Nd Sm Er
2 3 6
Cartesian
0.0000 0.0000 1.5358 Nd
0.0000 0.0000 31.6115 Nd
0.0000 0.0000 9.8361 Sm
0.0000 0.0000 16.5737 Sm
0.0000 0.0000 23.3112 Sm
2.3738 0.0000 4.0274 Er
0.0000 0.0000 6.4075 Er
2.3738 0.0000 12.5463 Er
0.0000 2.3738 4.0274 Er
0.0000 0.0000 26.7398 Er
0.0000 2.3738 12.5463 Er
```

---

Record 3
A plane-wave DFT calculation with PBE was carried out for crystalline Nd8Sm5Er at its relaxed geometry.

Structure (POSCAR):
```
Nd8Sm5Er
1.0
6.5267 -5.6904 0.0000
6.5267 5.6904 0.0000
-6.3335 0.0000 6.6328
Nd Sm Er
8 5 1
Cartesian
-0.9587 0.0000 1.8654 Nd
-1.5334 2.5566 6.3100 Nd
-2.2547 -0.9298 5.1172 Nd
8.2533 2.5566 0.3227 Nd
1.1710 -0.6198 4.7368 Nd
5.5488 -0.6198 1.8960 Nd
8.9746 -0.9298 1.5156 Nd
7.6786 0.0000 4.7673 Nd
0.8514 2.5352 3.5777 Sm
2.4602 0.3348 1.5287 Sm
5.8685 2.5352 3.0551 Sm
4.2597 0.3348 5.1041 Sm
3.3599 -3.1502 3.3164 Sm
6.5267 -3.1492 0.0000 Er
```

---

Record 4
A plane-wave DFT calculation with PBE was carried out for crystalline Nd3Sm5Er2 at its relaxed geometry.

Structure (POSCAR):
```
Nd3Sm5Er2
1.0
5.4304 -7.6879 0.0000
5.4304 7.6879 0.0000
-5.3797 0.0000 8.1903
Nd Sm Er
6 10 4
Cartesian
1.2995 1.9352 0.4175 Nd
1.3957 4.1605 6.1427 Nd
-1.3903 -1.9352 4.5127 Nd
6.8715 1.9352 3.6776 Nd
4.0855 -4.1605 2.0476 Nd
4.1816 -1.9352 7.7728 Nd
1.3957 7.3567 6.1427 Sm
-1.2827 1.8556 6.3602 Sm
4.0855 3.4998 2.0476 Sm
1.4071 -1.8556 2.2651 Sm
4.0855 0.4304 2.0476 Sm
1.3957 -0.4304 6.1427 Sm
4.0741 1.8556 5.9253 Sm
1.3957 -3.4998 6.1427 Sm
6.7639 -1.8556 1.8301 Sm
4.0855 -7.3567 2.0476 Sm
1.3073 1.8735 3.6896 Er
-1.3825 -1.8735 7.7848 Er
6.8637 1.8735 0.4056 Er
4.1738 -1.8735 4.5007 Er
```

---

Record 5
A plane-wave DFT calculation with PBE was carried out for crystalline Nd5Sm2Er at its relaxed geometry.

Structure (POSCAR):
```
Nd5Sm2Er
1.0
12.0875 0.0000 0.0000
0.0000 10.2174 0.0000
-0.3645 0.0000 8.9768
Nd Sm Er
20 8 4
Cartesian
-0.0841 2.5498 2.2470 Nd
-0.2664 2.5589 6.7354 Nd
2.6524 6.9034 4.0488 Nd
2.4702 8.4227 8.5372 Nd
2.4759 1.7926 8.5389 Nd
2.6581 3.3161 4.0505 Nd
4.9682 6.7596 1.3206 Nd
4.7860 8.5665 5.8090 Nd
4.7881 1.6387 5.8046 Nd
4.9703 3.4700 1.3162 Nd
6.7526 6.7474 7.6606 Nd
6.9349 8.5787 3.1722 Nd
6.9370 1.6509 3.1678 Nd
6.7547 3.4578 7.6562 Nd
9.0649 6.9013 4.9264 Nd
9.2471 8.4248 0.4379 Nd
9.2528 1.7947 0.4396 Nd
9.0705 3.3140 4.9280 Nd
11.9893 7.6585 2.2414 Nd
11.8071 7.6676 6.7298 Nd
1.5617 0.0008 5.3219 Sm
1.7440 5.1079 0.8335 Sm
3.4575 0.0025 2.5591 Sm
3.2753 5.1062 7.0476 Sm
8.2654 10.2149 6.4177 Sm
8.4477 5.1112 1.9293 Sm
10.1612 10.2166 3.6550 Sm
9.9790 5.1095 8.1434 Sm
0.0000 0.0000 0.0000 Er
-0.1822 5.1087 4.4884 Er
6.0437 0.0000 0.0000 Er
5.8615 5.1087 4.4884 Er
```

---

Record 6
A plane-wave DFT calculation with PBE was carried out for crystalline Nd5Sm6Er at its relaxed geometry.

Structure (POSCAR):
```
Nd5Sm6Er
1.0
3.1530 -5.4595 0.0000
3.1530 5.4595 0.0000
-2.1083 0.0000 11.8974
Nd Sm Er
5 6 1
Cartesian
0.0000 0.0000 0.0000 Nd
2.0988 3.6405 5.9487 Nd
3.1530 1.8190 0.0000 Nd
3.1530 -1.8190 0.0000 Nd
2.0988 -3.6405 5.9487 Nd
1.0520 1.8128 2.9923 Sm
0.0038 0.0000 8.9097 Sm
1.0520 -1.8128 2.9923 Sm
3.1457 1.8128 8.9051 Sm
4.1938 0.0000 2.9877 Sm
3.1457 -1.8128 8.9051 Sm
2.0988 0.0000 5.9487 Er
```

---

Record 7
A plane-wave DFT calculation with PBE was carried out for crystalline Nd3Sm3Er4 at its relaxed geometry.

Structure (POSCAR):
```
Nd3Sm3Er4
1.0
3.6724 0.0000 0.0000
0.0000 6.7639 6.7728
0.0000 -6.7639 6.7728
Nd Sm Er
3 3 4
Cartesian
0.0000 0.0000 0.0000 Nd
0.0000 -2.3678 9.1360 Nd
0.0000 2.3678 9.1360 Nd
0.0000 0.0000 4.7346 Sm
1.8362 -3.3650 5.7463 Sm
1.8362 3.3650 5.7463 Sm
1.8362 -1.6573 2.3773 Er
1.8362 1.6573 2.3773 Er
1.8362 0.0000 7.4673 Er
1.8362 0.0000 10.8017 Er
```

---

Record 8
A plane-wave DFT calculation with PBE was carried out for crystalline Nd4Sm8Er3 at its relaxed geometry.

Structure (POSCAR):
```
Nd4Sm8Er3
1.0
6.7990 -6.4453 0.0000
6.7990 6.4453 0.0000
-3.4276 0.0000 5.9258
Nd Sm Er
4 8 3
Cartesian
0.0000 0.0000 0.0000 Nd
-1.7138 0.0000 2.9629 Nd
3.3995 3.2227 0.0000 Nd
3.3995 -3.2227 0.0000 Nd
6.7990 3.1595 0.0000 Sm
1.8011 0.0000 3.0689 Sm
3.5362 0.0000 0.3074 Sm
5.0852 1.8400 2.9629 Sm
5.0852 -1.8400 2.9629 Sm
6.6342 0.0000 5.6184 Sm
8.3693 0.0000 2.8569 Sm
6.7990 -3.1595 0.0000 Sm
1.6857 3.2227 2.9629 Er
1.6857 -3.2227 2.9629 Er
6.7990 0.0000 0.0000 Er
```

---

Record 9
A plane-wave DFT calculation with PBE was carried out for crystalline Nd8Sm4Er at its relaxed geometry.

Structure (POSCAR):
```
Nd8Sm4Er
1.0
5.9225 3.4194 3.9201
-5.9225 3.4194 3.9201
0.0000 -6.8388 3.9201
Nd Sm Er
8 4 1
Cartesian
0.0000 -3.4232 3.9418 Nd
-2.9646 1.7116 3.9418 Nd
0.0000 0.0000 2.8430 Nd
-2.9646 -1.7116 7.8185 Nd
2.9646 1.7116 3.9418 Nd
0.0000 0.0000 8.9174 Nd
2.9646 -1.7116 7.8185 Nd
0.0000 3.4232 7.8185 Nd
0.0000 0.0000 0.0000 Sm
-2.9613 -1.7097 3.9201 Sm
-2.9613 1.7097 7.8402 Sm
0.0000 3.4194 3.9201 Sm
0.0000 0.0000 5.8802 Er
```

---

Record 10
A plane-wave DFT calculation with PBE was carried out for crystalline Nd4SmEr2 at its relaxed geometry.

Structure (POSCAR):
```
Nd4SmEr2
1.0
-3.4441 5.7455 6.0828
3.4441 -5.7455 6.0828
3.4441 5.7455 -6.0828
Nd Sm Er
8 2 4
Cartesian
0.0000 0.0247 1.8055 Nd
1.5242 2.8727 -0.1141 Nd
1.9199 -2.8727 5.9688 Nd
3.4441 0.0247 4.2773 Nd
0.0000 5.7208 1.8055 Nd
1.5242 8.6182 0.1141 Nd
1.9199 2.8727 6.1969 Nd
3.4441 5.7208 4.2773 Nd
-1.7220 2.8727 3.0414 Sm
1.7220 2.8727 3.0414 Sm
3.4441 0.0000 0.0000 Er
3.4441 2.8727 -2.6621 Er
0.0000 0.0000 6.0828 Er
0.0000 2.8727 8.7449 Er
```

---

Record 11
A plane-wave DFT calculation with PBE was carried out for crystalline Nd2SmEr at its relaxed geometry.

Structure (POSCAR):
```
Nd2SmEr
1.0
3.6274 0.0000 0.0000
0.0000 3.6274 0.0000
0.0000 0.0000 10.2348
Nd Sm Er
2 1 1
Cartesian
0.0000 0.0000 2.5180 Nd
0.0000 0.0000 7.7168 Nd
1.8137 1.8137 5.1174 Sm
1.8137 1.8137 0.0000 Er
```

---

Record 12
A plane-wave DFT calculation with PBE was carried out for crystalline Nd6SmEr3 at its relaxed geometry.

Structure (POSCAR):
```
Nd6SmEr3
1.0
5.5089 -9.6693 0.0000
5.5089 9.6693 0.0000
0.0000 0.0000 6.3573
Nd Sm Er
12 2 6
Cartesian
5.5089 8.9638 3.1786 Nd
2.9376 4.0455 0.0857 Nd
5.5089 4.2349 4.6530 Nd
3.6485 0.7879 5.2981 Nd
3.6485 -0.7879 2.1195 Nd
2.9376 -4.0455 3.2644 Nd
8.0802 4.0455 0.0857 Nd
7.3693 0.7879 5.2981 Nd
7.3693 -0.7879 2.1195 Nd
5.5089 -4.2349 1.4743 Nd
8.0802 -4.0455 3.2644 Nd
5.5089 -8.9638 0.0000 Nd
5.5089 5.8905 1.7096 Sm
5.5089 -5.8905 4.8882 Sm
1.8883 2.2246 2.6521 Er
1.8883 -2.2246 5.8307 Er
5.5089 2.2321 1.8779 Er
5.5089 -2.2321 5.0565 Er
9.1294 2.2246 2.6521 Er
9.1294 -2.2246 5.8307 Er
```

---

Record 13
A plane-wave DFT calculation with PBE was carried out for crystalline NdSm7Er3 at its relaxed geometry.

Structure (POSCAR):
```
NdSm7Er3
1.0
6.5432 0.0000 0.0000
-0.6708 6.6955 0.0000
-1.3563 -1.6049 8.4537
Nd Sm Er
1 7 3
Cartesian
0.0000 0.0000 0.0000 Nd
-0.3354 3.3477 0.0000 Sm
-0.6606 0.3793 5.4155 Sm
0.0062 3.6961 6.0080 Sm
1.7748 0.1370 7.7164 Sm
2.7413 4.9536 0.7373 Sm
4.5098 1.3944 2.4457 Sm
5.1767 4.7112 3.0382 Sm
1.2774 2.3549 2.8639 Er
2.5935 -0.8025 4.2269 Er
3.2387 2.7356 5.5899 Er
```

---

Record 14
A plane-wave DFT calculation with PBE was carried out for crystalline Nd6Sm3Er at its relaxed geometry.

Structure (POSCAR):
```
Nd6Sm3Er
1.0
5.5024 -9.6833 0.0000
5.5024 9.6833 0.0000
0.0000 0.0000 6.4919
Nd Sm Er
12 6 2
Cartesian
5.5024 9.0088 3.2459 Nd
2.9479 4.0498 6.4754 Nd
5.5024 4.2994 1.8484 Nd
3.6323 0.8131 1.2185 Nd
3.6323 -0.8131 4.4645 Nd
2.9479 -4.0498 3.2294 Nd
8.0569 4.0498 6.4754 Nd
7.3725 0.8131 1.2185 Nd
7.3725 -0.8131 4.4645 Nd
5.5024 -4.2994 5.0943 Nd
8.0569 -4.0498 3.2294 Nd
5.5024 -9.0088 0.0000 Nd
1.9014 2.2511 3.8681 Sm
1.9014 -2.2511 0.6221 Sm
5.5024 2.2319 4.6297 Sm
5.5024 -2.2319 1.3838 Sm
9.1035 2.2511 3.8681 Sm
9.1035 -2.2511 0.6221 Sm
5.5024 5.9552 4.8423 Er
5.5024 -5.9552 1.5964 Er
```

---

Record 15
A plane-wave DFT calculation with PBE was carried out for crystalline NdSm4Er4 at its relaxed geometry.

Structure (POSCAR):
```
NdSm4Er4
1.0
-5.3757 5.3757 2.5206
5.3757 -5.3757 2.5206
5.3757 5.3757 -2.5206
Nd Sm Er
1 4 4
Cartesian
0.0000 0.0000 0.0000 Nd
3.5680 0.0000 0.0000 Sm
7.1833 0.0000 0.0000 Sm
0.0000 3.5680 0.0000 Sm
0.0000 7.1833 0.0000 Sm
3.5803 3.5803 0.0000 Er
1.7954 -1.7954 2.5206 Er
-1.7954 1.7954 2.5206 Er
1.7954 1.7954 2.5206 Er
```

---

Record 16
A plane-wave DFT calculation with PBE was carried out for crystalline NdSm7Er3 at its relaxed geometry.

Structure (POSCAR):
```
NdSm7Er3
1.0
7.1588 0.0000 0.0000
-3.5794 6.1997 0.0000
0.0000 0.0000 8.6447
Nd Sm Er
1 7 3
Cartesian
0.0000 0.0000 0.0000 Nd
0.0000 2.0557 5.7710 Sm
-1.7991 5.1718 5.7710 Sm
3.5794 0.0121 0.1096 Sm
1.8002 3.0938 0.1096 Sm
3.5794 2.0666 5.8760 Sm
1.7991 5.1718 5.7710 Sm
5.3586 3.0938 0.1096 Sm
1.7928 1.0351 2.9462 Er
5.3660 1.0351 2.9462 Er
3.5794 4.1295 2.9462 Er
```

---

Record 17
A plane-wave DFT calculation with PBE was carried out for crystalline Nd4Sm6Er at its relaxed geometry.

Structure (POSCAR):
```
Nd4Sm6Er
1.0
-3.8214 3.8214 6.7772
3.8214 -3.8214 6.7772
3.8214 3.8214 -6.7772
Nd Sm Er
4 6 1
Cartesian
2.4932 2.4932 -1.0734 Nd
1.3282 -1.3282 7.8506 Nd
1.3282 1.3282 5.7038 Nd
-1.3282 1.3282 7.8506 Nd
3.8214 0.0000 0.0000 Sm
2.0857 -2.0857 4.2472 Sm
1.7357 1.7357 2.5300 Sm
0.0000 3.8214 0.0000 Sm
-2.0857 2.0857 4.2472 Sm
2.0857 2.0857 9.3073 Sm
0.0000 0.0000 0.0000 Er
```

---

Record 18
A plane-wave DFT calculation with PBE was carried out for crystalline NdSm4Er6 at its relaxed geometry.

Structure (POSCAR):
```
NdSm4Er6
1.0
-3.8755 3.8755 6.4361
3.8755 -3.8755 6.4361
3.8755 3.8755 -6.4361
Nd Sm Er
1 4 6
Cartesian
0.0000 0.0000 0.0000 Nd
2.5462 2.5462 -0.9591 Sm
1.3293 -1.3293 7.3952 Sm
1.3293 1.3293 5.4770 Sm
-1.3293 1.3293 7.3952 Sm
3.8755 0.0000 0.0000 Er
1.9099 -1.9099 4.0563 Er
1.9656 1.9656 2.3798 Er
0.0000 3.8755 0.0000 Er
-1.9099 1.9099 4.0563 Er
1.9099 1.9099 8.8159 Er
```

---

Record 19
A plane-wave DFT calculation with PBE was carried out for crystalline Nd2SmEr3 at its relaxed geometry.

Structure (POSCAR):
```
Nd2SmEr3
1.0
4.6908 -6.6228 0.0000
4.6908 6.6228 0.0000
0.0000 0.0000 6.4436
Nd Sm Er
4 2 6
Cartesian
1.7377 2.4257 0.0000 Nd
1.7377 -2.4257 3.2218 Nd
7.6439 2.4257 0.0000 Nd
7.6439 -2.4257 3.2218 Nd
4.6908 2.2805 1.3335 Sm
4.6908 -2.2805 4.5553 Sm
1.7357 0.8791 3.0885 Er
1.7357 -0.8791 6.3103 Er
4.6908 1.0576 4.6979 Er
4.6908 -1.0576 1.4761 Er
7.6460 0.8791 3.0885 Er
7.6460 -0.8791 6.3103 Er
```

---

Let's list total magnetization in order: 0.00 0.00 0.00 0.00 0.00 0.00 0.00 0.01 0.38 0.00 0.00 0.00 0.00 0.00 0.00 0.00 0.00 0.00 0.00 μB/cell.
Let's list ΔH_f (0 K) in order: 0.001 2.890 2.312 1.839 1.210 0.166 0.925 5.246 5.293 1.786 0.076 1.425 1.467 1.364 0.169 2.105 4.288 5.011 1.406 eV per formula unit.